[1]
# Sm4MgSi2 PBE-GGA relaxed
data_Sm4MgSi2
_symmetry_space_group_name_H-M 'R -3 m'
_symmetry_Int_Tables_number 166
_symmetry_space_group_name_Hall '-R 3 2"'
_cell_length_a 4.6549
_cell_length_b 4.6549
_cell_length_c 32.7646
_cell_angle_alpha 90.00
_cell_angle_beta 90.00
_cell_angle_gamma 120.00
loop_
_atom_site_label
_atom_site_fract_x
_atom_site_fract_y
_atom_site_fract_z
Sm1 0.0000 0.0000 0.1094
Sm2 0.0000 0.0000 0.3010
Mg1 0.0000 0.0000 0.5000
Si1 0.0000 0.0000 0.4014
# ΔE_f (raw) ... -0.30 eV per atom

[2]
# USbO PBE-GGA relaxed
data_USbO
_symmetry_space_group_name_H-M 'P -3 m 1'
_symmetry_Int_Tables_number 164
_symmetry_space_group_name_Hall '-P 3 2"'
_cell_length_a 3.8476
_cell_length_b 3.8476
_cell_length_c 10.0178
_cell_angle_alpha 90.00
_cell_angle_beta 90.00
_cell_angle_gamma 120.00
loop_
_atom_site_label
_atom_site_fract_x
_atom_site_fract_y
_atom_site_fract_z
U1 0.3333 0.6667 0.3504
Sb1 0.3333 0.6667 0.8996
O1 0.3333 0.6667 0.5834
# ΔE_f (raw) ... -1.44 eV per atom

Which of these has the highest ΔE_f (raw)?
Sm4MgSi2